# Sm2GdPa GGA-PBE relaxed
data_Sm2GdPa
_symmetry_space_group_name_H-M 'P 4/m m m'
_symmetry_Int_Tables_number 123
_symmetry_space_group_name_Hall '-P 4 2'
_cell_length_a 3.433
_cell_length_b 3.433
_cell_length_c 10.431
_cell_angle_alpha 90.00
_cell_angle_beta 90.00
_cell_angle_gamma 90.00
loop_
_atom_site_label
_atom_site_type_symbol
_atom_site_fract_x
_atom_site_fract_y
_atom_site_fract_z
Sm1 Sm 0.000 0.000 0.230
Gd1 Gd 0.500 0.500 0.500
Pa1 Pa 0.500 0.500 0.000
# * formation enthalpy at 0 K: 0.146 eV/atom
# * volume: 30.73 A^3/atom
# * E: -32.432 eV per cell
# * theoretical density: 9.3 g cm⁻³